# PBE-GGA LiAcScPb2, relaxed
data_LiAcScPb2
_cell_length_a 4.754
_cell_length_b 4.754
_cell_length_c 12.808
_cell_angle_alpha 90.00
_cell_angle_beta 90.00
_cell_angle_gamma 90.00
_symmetry_space_group_name_H-M 'I -4 m 2'
_symmetry_Int_Tables_number 119
_symmetry_space_group_name_Hall 'I -4 -2'
loop_
_atom_site_label
_atom_site_type_symbol
_atom_site_fract_x
_atom_site_fract_y
_atom_site_fract_z
Li1 Li 0.000 0.000 0.000
Ac1 Ac 0.000 0.500 0.250
Sc1 Sc 0.000 0.000 0.500
Pb1 Pb 0.000 0.500 0.630
# * Fermi-level density of states: 8.0 states/eV per cell
# * energy of formation: -40.57 kJ per mole of atoms

---

# PBE-GGA LiAcPbSe3, relaxed
data_LiAcPbSe3
_cell_length_a 9.057
_cell_length_b 4.252
_cell_length_c 9.257
_cell_angle_alpha 90.00
_cell_angle_beta 100.99
_cell_angle_gamma 90.00
_symmetry_space_group_name_H-M 'P 1 21/m 1'
_symmetry_Int_Tables_number 11
loop_
_symmetry_equiv_pos_as_xyz
'x,y,z'
'-x,-y,-z'
'-x,y+1/2,-z'
'x,-y+1/2,z'
loop_
_atom_site_label
_atom_site_type_symbol
_atom_site_fract_x
_atom_site_fract_y
_atom_site_fract_z
Li1 Li 0.093 0.250 0.091
Ac1 Ac 0.170 0.250 0.725
Pb1 Pb 0.343 0.750 0.335
Se1 Se 0.099 0.250 0.371
Se2 Se 0.195 0.750 0.985
Se3 Se 0.408 0.750 0.663
# * Fermi-level density of states: 0.0 states/eV per cell
# * formation energy without anion corrections: -128 kJ/mol of atoms

---

# PBE-GGA LiAc2Pb3Se6, relaxed
data_LiAc2Pb3Se6
_cell_length_a 19.054
_cell_length_b 4.630
_cell_length_c 8.607
_cell_angle_alpha 90.00
_cell_angle_beta 103.47
_cell_angle_gamma 90.00
_symmetry_space_group_name_H-M 'C 1 2/m 1'
_symmetry_Int_Tables_number 12
loop_
_symmetry_equiv_pos_as_xyz
'x,y,z'
'-x,-y,-z'
'-x,y,-z'
'x,-y,z'
'x+1/2,y+1/2,z'
'-x+1/2,-y+1/2,-z'
'-x+1/2,y+1/2,-z'
'x+1/2,-y+1/2,z'
loop_
_atom_site_label
_atom_site_type_symbol
_atom_site_fract_x
_atom_site_fract_y
_atom_site_fract_z
Li1 Li 0.000 0.000 0.000
Ac1 Ac 0.161 0.500 0.315
Pb1 Pb 0.000 0.000 0.500
Pb2 Pb 0.162 0.500 0.846
Se1 Se 0.001 0.500 0.756
Se2 Se 0.160 0.000 0.069
Se3 Se 0.169 0.000 0.567
# * Fermi-level density of states: 6.1 states/eV per cell
# * formation energy without anion corrections: -108 kJ/mol of atoms

---

# PBE-GGA LiAcSmPb, relaxed
data_LiAcSmPb
_cell_length_a 7.935
_cell_length_b 7.935
_cell_length_c 7.935
_cell_angle_alpha 90.00
_cell_angle_beta 90.00
_cell_angle_gamma 90.00
_symmetry_space_group_name_H-M 'F -4 3 m'
_symmetry_Int_Tables_number 216
_symmetry_space_group_name_Hall 'F -4 2 3'
loop_
_atom_site_label
_atom_site_type_symbol
_atom_site_fract_x
_atom_site_fract_y
_atom_site_fract_z
Li1 Li 0.000 0.000 0.000
Ac1 Ac 0.250 0.250 0.250
Sm1 Sm 0.250 0.250 0.750
Pb1 Pb 0.000 0.000 0.500
# * Fermi-level density of states: 13.3 states/eV per cell
# * energy of formation: -25.47 kJ per mole of atoms

---

# PBE-GGA Li4AcSnPb2, relaxed
data_Li4AcSnPb2
_cell_length_a 4.8656
_cell_length_b 4.8656
_cell_length_c 28.0741
_cell_angle_alpha 90.00
_cell_angle_beta 90.00
_cell_angle_gamma 120.00
_symmetry_space_group_name_H-M 'R -3 m'
_symmetry_Int_Tables_number 166
_symmetry_space_group_name_Hall '-R 3 2"'
loop_
_atom_site_label
_atom_site_type_symbol
_atom_site_fract_x
_atom_site_fract_y
_atom_site_fract_z
Li1 Li 0.0000 0.0000 0.0949
Li2 Li 0.0000 0.0000 0.3679
Ac1 Ac 0.0000 0.0000 0.5000
Sn1 Sn 0.0000 0.0000 0.0000
Pb1 Pb 0.0000 0.0000 0.2473
# * Fermi-level density of states: 13.3 states/eV per cell
# * energy of formation: -28.13 kJ per mole of atoms

---

# PBE-GGA Li4Ac2SnPb3, relaxed
data_Li4Ac2SnPb3
_cell_length_a 4.788
_cell_length_b 4.788
_cell_length_c 11.198
_cell_angle_alpha 90.00
_cell_angle_beta 90.00
_cell_angle_gamma 90.00
_symmetry_space_group_name_H-M 'P -4 m 2'
_symmetry_Int_Tables_number 115
loop_
_symmetry_equiv_pos_as_xyz
'x,y,z'
'y,-x,-z'
'-x,-y,z'
'-y,x,-z'
'-x,y,z'
'-y,-x,-z'
'x,-y,z'
'y,x,-z'
loop_
_atom_site_label
_atom_site_type_symbol
_atom_site_fract_x
_atom_site_fract_y
_atom_site_fract_z
Li1 Li 0.000 0.000 0.000
Li2 Li 0.000 0.500 0.367
Li3 Li 0.500 0.500 0.000
Ac1 Ac 0.000 0.500 0.755
Sn1 Sn 0.500 0.500 0.500
Pb1 Pb 0.000 0.000 0.500
Pb2 Pb 0.000 0.500 0.126
# * Fermi-level density of states: 4.4 states/eV per cell
# * energy of formation: -45.41 kJ per mole of atoms

---

# PBE-GGA Li2AcSnPb2, relaxed
data_Li2AcSnPb2
_cell_length_a 5.048
_cell_length_b 5.048
_cell_length_c 6.668
_cell_angle_alpha 90.00
_cell_angle_beta 90.00
_cell_angle_gamma 90.00
_symmetry_space_group_name_H-M 'P 4/m m m'
_symmetry_Int_Tables_number 123
_symmetry_space_group_name_Hall '-P 4 2'
loop_
_atom_site_label
_atom_site_type_symbol
_atom_site_fract_x
_atom_site_fract_y
_atom_site_fract_z
Li1 Li 0.000 0.500 0.000
Ac1 Ac 0.000 0.000 0.500
Sn1 Sn 0.000 0.000 0.000
Pb1 Pb 0.500 0.500 0.268
# * Fermi-level density of states: 4.5 states/eV per cell
# * energy of formation: -22.62 kJ per mole of atoms

---

# PBE-GGA Li4AcSn2Pb, relaxed
data_Li4AcSn2Pb
_cell_length_a 4.8111
_cell_length_b 4.8111
_cell_length_c 28.0571
_cell_angle_alpha 90.00
_cell_angle_beta 90.00
_cell_angle_gamma 120.00
_symmetry_space_group_name_H-M 'R -3 m'
_symmetry_Int_Tables_number 166
_symmetry_space_group_name_Hall '-R 3 2"'
loop_
_atom_site_label
_atom_site_type_symbol
_atom_site_fract_x
_atom_site_fract_y
_atom_site_fract_z
Li1 Li 0.0000 0.0000 0.0961
Li2 Li 0.0000 0.0000 0.3729
Ac1 Ac 0.0000 0.0000 0.5000
Sn1 Sn 0.0000 0.0000 0.2477
Pb1 Pb 0.0000 0.0000 0.0000
# * Fermi-level density of states: 12.5 states/eV per cell
# * energy of formation: -33.49 kJ per mole of atoms

---

# PBE-GGA SrLi2AcPb2, relaxed
data_SrLi2AcPb2
_cell_length_a 5.0224
_cell_length_b 5.0224
_cell_length_c 8.3314
_cell_angle_alpha 90.00
_cell_angle_beta 90.00
_cell_angle_gamma 120.00
_symmetry_space_group_name_H-M 'P -3 m 1'
_symmetry_Int_Tables_number 164
_symmetry_space_group_name_Hall '-P 3 2"'
loop_
_atom_site_label
_atom_site_type_symbol
_atom_site_fract_x
_atom_site_fract_y
_atom_site_fract_z
Sr1 Sr 0.0000 0.0000 0.0000
Li1 Li 0.3333 0.6667 0.7576
Ac1 Ac 0.0000 0.0000 0.5000
Pb1 Pb 0.3333 0.6667 0.2602
# * Fermi-level density of states: 3.5 states/eV per cell
# * energy of formation: -47.10 kJ per mole of atoms

---

# PBE-GGA Li2AcTb2Pb2, relaxed
data_Li2AcTb2Pb2
_cell_length_a 4.9362
_cell_length_b 4.9362
_cell_length_c 28.2398
_cell_angle_alpha 90.00
_cell_angle_beta 90.00
_cell_angle_gamma 120.00
_symmetry_space_group_name_H-M 'R -3 m'
_symmetry_Int_Tables_number 166
_symmetry_space_group_name_Hall '-R 3 2"'
loop_
_atom_site_label
_atom_site_type_symbol
_atom_site_fract_x
_atom_site_fract_y
_atom_site_fract_z
Li1 Li 0.0000 0.0000 0.0788
Ac1 Ac 0.0000 0.0000 0.5000
Tb1 Tb 0.0000 0.0000 0.3676
Pb1 Pb 0.0000 0.0000 0.2436
# * Fermi-level density of states: 14.3 states/eV per cell
# * energy of formation: -32.98 kJ per mole of atoms

---

# PBE-GGA LiAcTbPb, relaxed
data_LiAcTbPb
_cell_length_a 7.884
_cell_length_b 7.884
_cell_length_c 7.884
_cell_angle_alpha 90.00
_cell_angle_beta 90.00
_cell_angle_gamma 90.00
_symmetry_space_group_name_H-M 'F -4 3 m'
_symmetry_Int_Tables_number 216
_symmetry_space_group_name_Hall 'F -4 2 3'
loop_
_atom_site_label
_atom_site_type_symbol
_atom_site_fract_x
_atom_site_fract_y
_atom_site_fract_z
Li1 Li 0.000 0.000 0.000
Ac1 Ac 0.250 0.250 0.750
Tb1 Tb 0.250 0.250 0.250
Pb1 Pb 0.000 0.000 0.500
# * Fermi-level density of states: 13.2 states/eV per cell
# * energy of formation: -23.21 kJ per mole of atoms

---

# PBE-GGA LiAc2Te6Pb3, relaxed
data_LiAc2Te6Pb3
_cell_length_a 20.209
_cell_length_b 4.901
_cell_length_c 9.077
_cell_angle_alpha 90.00
_cell_angle_beta 103.32
_cell_angle_gamma 90.00
_symmetry_space_group_name_H-M 'C 1 2/m 1'
_symmetry_Int_Tables_number 12
loop_
_symmetry_equiv_pos_as_xyz
'x,y,z'
'-x,-y,-z'
'-x,y,-z'
'x,-y,z'
'x+1/2,y+1/2,z'
'-x+1/2,-y+1/2,-z'
'-x+1/2,y+1/2,-z'
'x+1/2,-y+1/2,z'
loop_
_atom_site_label
_atom_site_type_symbol
_atom_site_fract_x
_atom_site_fract_y
_atom_site_fract_z
Li1 Li 0.000 0.000 0.000
Ac1 Ac 0.162 0.500 0.316
Te1 Te 0.003 0.500 0.757
Te2 Te 0.163 0.000 0.067
Te3 Te 0.167 0.000 0.573
Pb1 Pb 0.000 0.000 0.500
Pb2 Pb 0.165 0.500 0.844
# * Fermi-level density of states: 5.6 states/eV per cell
# * formation energy without anion corrections: -82 kJ/mol of atoms

---

Which of these has the highest Fermi-level density of states?
Li2AcTb2Pb2

---

The lowest Fermi-level density of states belongs to which entry?
LiAcPbSe3

---

Which of these has the lowest Fermi-level density of states?
LiAcPbSe3

---

The highest Fermi-level density of states belongs to which entry?
Li2AcTb2Pb2